Entry 1:
K2BiSb after structural relaxation. Source: the Alexandria database, functional PBE.

POSCAR file:
```
K2BiSb
1.0
4.9121 0.0000 0.0000
0.0000 4.9121 0.0000
0.0000 0.0000 5.5307
K Bi Sb
2 1 1
Direct
0.0000 0.5000 0.0000 K
0.5000 0.0000 0.0000 K
0.0000 0.0000 0.5000 Bi
0.5000 0.5000 0.5000 Sb
```

Summary:
* E above lowest polymorph: 10.7 kJ/mol of formula units
* E: -11.39 eV per cell
* crystal system: tetragonal
* ΔE_f (raw): -0.2974 eV per atom

=====

Entry 2:
LiCePt6 after structural relaxation. Source: the Alexandria database, functional PBE.

POSCAR file:
```
LiCePt6
1.0
4.0801 0.0000 0.0000
0.0000 4.0801 0.0000
0.0000 0.0000 7.9131
Li Ce Pt
1 1 6
Direct
0.0000 0.0000 0.0000 Li
0.0000 0.0000 0.5000 Ce
0.0000 0.5000 0.2323 Pt
0.0000 0.5000 0.7677 Pt
0.5000 0.0000 0.2323 Pt
0.5000 0.0000 0.7677 Pt
0.5000 0.5000 0.0000 Pt
0.5000 0.5000 0.5000 Pt
```

Summary:
* ΔE_f: -15.676 kcal/mol of atoms
* E: -49.53 eV per cell
* crystal system: tetragonal

=====

Entry 3:
ZrOs2Br after structural relaxation. Source: the Alexandria database, functional PBE.

POSCAR file:
```
ZrOs2Br
1.0
1.5471 0.8932 8.6872
-1.5471 0.8932 8.6872
0.0000 -1.7864 8.6872
Zr Os Br
1 2 1
Direct
0.0000 0.0000 0.0000 Zr
0.2521 0.2521 0.2521 Os
0.7479 0.7479 0.7479 Os
0.5000 0.5000 0.5000 Br
```

Summary:
* E above lowest polymorph: 202.8 kJ/mol of formula units
* E: -30.10 eV per cell
* crystal system: trigonal
* ΔE_f (raw): 0.6452 eV per atom

=====

Entry 4:
Pm3U2PaP6 after structural relaxation. Source: the Alexandria database, functional PBE.

POSCAR file:
```
Pm3U2PaP6
1.0
3.4788 -6.0242 0.0000
3.4788 6.0242 0.0000
-2.3181 0.0000 6.6575
Pm U Pa P
3 2 1 6
Direct
0.0000 0.0000 0.0000 Pm
0.3340 0.6660 0.0000 Pm
0.6660 0.3340 0.0000 Pm
0.1668 0.8332 0.5000 U
0.8332 0.1668 0.5000 U
0.5000 0.5000 0.5000 Pa
0.0872 0.4213 0.2643 P
0.2442 0.2442 0.7353 P
0.4213 0.0872 0.2643 P
0.5787 0.9128 0.7357 P
0.7558 0.7558 0.2647 P
0.9128 0.5787 0.7357 P
```

Summary:
* ΔE_f: -30.401 kcal/mol of atoms
* E: -94.60 eV per cell
* crystal system: monoclinic

=====

Entry 5:
K2MoOs after structural relaxation. Source: the Alexandria database, functional PBE.

POSCAR file:
```
K2MoOs
1.0
2.6556 0.0000 0.0000
0.0000 5.3694 0.0000
0.0000 0.0000 5.9156
K Mo Os
2 1 1
Direct
0.0000 0.2477 0.0000 K
0.0000 0.7523 0.0000 K
0.5000 0.5000 0.5000 Mo
0.5000 0.0000 0.5000 Os
```

Summary:
* E above lowest polymorph: 231.1 kJ/mol of formula units
* ΔE_f: 32.461 kcal/mol of atoms
* E: -18.63 eV per cell
* crystal system: orthorhombic

=====

Entry 6:
Sm6YCd after structural relaxation. Source: the Alexandria database, functional PBE.

POSCAR file:
```
Sm6YCd
1.0
4.9848 0.0000 0.0000
0.0000 4.9848 0.0000
0.0000 0.0000 10.2105
Sm Y Cd
6 1 1
Direct
0.0000 0.0000 0.0000 Sm
0.0000 0.0000 0.5000 Sm
0.0000 0.5000 0.2441 Sm
0.0000 0.5000 0.7559 Sm
0.5000 0.0000 0.2441 Sm
0.5000 0.0000 0.7559 Sm
0.5000 0.5000 0.5000 Y
0.5000 0.5000 0.0000 Cd
```

Summary:
* E above lowest polymorph: 0.0 kJ/mol of formula units
* ΔE_f: -0.811 kcal/mol of atoms
* E: -35.98 eV per cell
* crystal system: tetragonal

=====

Entry 7:
InHgSb2 after structural relaxation. Source: the Alexandria database, functional PBE.

POSCAR file:
```
InHgSb2
1.0
0.0000 3.8023 3.8023
3.8023 0.0000 3.8023
3.8023 3.8023 0.0000
In Hg Sb
1 1 2
Direct
0.0000 0.0000 0.0000 In
0.7500 0.7500 0.7500 Hg
0.2500 0.2500 0.2500 Sb
0.5000 0.5000 0.5000 Sb
```

Summary:
* E above lowest polymorph: 37.4 kJ/mol of formula units
* E: -10.73 eV per cell
* crystal system: cubic
* ΔE_f (raw): 0.1397 eV per atom

=====

Entry 8:
Zr2WSe after structural relaxation. Source: the Alexandria database, functional PBE.

POSCAR file:
```
Zr2WSe
1.0
0.0000 3.3602 3.3602
3.3602 0.0000 3.3602
3.3602 3.3602 0.0000
Zr W Se
2 1 1
Direct
0.0000 0.0000 0.0000 Zr
0.2500 0.2500 0.2500 Zr
0.5000 0.5000 0.5000 W
0.7500 0.7500 0.7500 Se
```

Summary:
* E: -32.55 eV per cell
* crystal system: cubic
* ΔE_f (raw): 0.2463 eV per atom

=====

Entry 9:
Ca3AlPd3 after structural relaxation. Source: the Alexandria database, functional PBE.

POSCAR file:
```
Ca3AlPd3
1.0
2.0655 -5.4524 0.0000
2.0655 5.4524 0.0000
0.0000 0.0000 14.1159
Ca Al Pd
6 2 6
Direct
0.0111 0.9889 0.7500 Ca
0.2895 0.7105 0.6056 Ca
0.2895 0.7105 0.8944 Ca
0.7105 0.2895 0.1056 Ca
0.7105 0.2895 0.3944 Ca
0.9889 0.0111 0.2500 Ca
0.0000 0.0000 0.0000 Al
0.0000 0.0000 0.5000 Al
0.2826 0.7174 0.2500 Pd
0.4256 0.5744 0.0855 Pd
0.4256 0.5744 0.4145 Pd
0.5744 0.4256 0.5855 Pd
0.5744 0.4256 0.9145 Pd
0.7174 0.2826 0.7500 Pd
```

Summary:
* E above lowest polymorph: 0.0 kJ/mol of formula units
* ΔE_f: -17.020 kcal/mol of atoms
* E: -60.98 eV per cell
* crystal system: orthorhombic

=====

Entry 10:
ZrAgRh2 after structural relaxation. Source: the Alexandria database, functional PBE.

POSCAR file:
```
ZrAgRh2
1.0
3.3166 0.0000 0.0000
0.0000 3.3166 0.0000
0.0000 0.0000 6.1394
Zr Ag Rh
1 1 2
Direct
0.0000 0.0000 0.0000 Zr
0.0000 0.0000 0.5000 Ag
0.5000 0.5000 0.2445 Rh
0.5000 0.5000 0.7555 Rh
```

Summary:
* ΔE_f: -9.501 kcal/mol of atoms
* E: -27.75 eV per cell
* crystal system: tetragonal

=====

Entry 11:
Tm2ZnCu2 after structural relaxation. Source: the Alexandria database, functional PBE.

POSCAR file:
```
Tm2ZnCu2
1.0
5.1861 -2.1429 0.0000
5.1861 2.1429 0.0000
-4.7663 0.0000 8.7470
Tm Zn Cu
4 2 4
Direct
0.0118 0.0118 0.3335 Tm
0.1947 0.1947 0.1113 Tm
0.8053 0.8053 0.8887 Tm
0.9882 0.9882 0.6665 Tm
0.2746 0.2746 0.6486 Zn
0.7254 0.7254 0.3514 Zn
0.3645 0.3645 0.4352 Cu
0.4780 0.4780 0.1119 Cu
0.5220 0.5220 0.8881 Cu
0.6355 0.6355 0.5648 Cu
```

Summary:
* ΔE_f: -6.575 kcal/mol of atoms
* E: -39.67 eV per cell
* crystal system: monoclinic

=====

Entry 12:
TaIO after structural relaxation. Source: the Alexandria database, functional PBE.

POSCAR file:
```
TaIO
1.0
2.7340 -7.5586 0.0000
2.7340 7.5586 0.0000
0.0000 0.0000 3.7893
Ta I O
2 2 2
Direct
0.0882 0.9118 0.0000 Ta
0.9118 0.0882 0.0000 Ta
0.3572 0.6428 0.0000 I
0.6428 0.3572 0.0000 I
0.1128 0.8872 0.5000 O
0.8872 0.1128 0.5000 O
```

Summary:
* E: -43.85 eV per cell
* crystal system: orthorhombic
* ΔE_f (raw): -1.1878 eV per atom

=====

Entry 13:
NdErCdIr after structural relaxation. Source: the Alexandria database, functional PBE.

POSCAR file:
```
NdErCdIr
1.0
0.0000 3.6085 3.6085
3.6085 0.0000 3.6085
3.6085 3.6085 0.0000
Nd Er Cd Ir
1 1 1 1
Direct
0.0000 0.0000 0.0000 Nd
0.5000 0.5000 0.5000 Er
0.7500 0.7500 0.7500 Cd
0.2500 0.2500 0.2500 Ir
```

Summary:
* ΔE_f: -11.169 kcal/mol of atoms
* E: -21.04 eV per cell
* crystal system: cubic

=====

Entry 14:
AcTcAg2O6 after structural relaxation. Source: the Alexandria database, functional PBE.

POSCAR file:
```
AcTcAg2O6
1.0
2.9305 1.6919 4.9652
-2.9305 1.6919 4.9652
0.0000 -3.3838 4.9652
Ac Tc Ag O
1 1 2 6
Direct
0.0000 0.0000 0.0000 Ac
0.4956 0.4956 0.4956 Tc
0.2704 0.2704 0.2704 Ag
0.7445 0.7445 0.7445 Ag
0.1550 0.6775 0.4024 O
0.2802 0.5840 0.8197 O
0.4024 0.1550 0.6775 O
0.5840 0.8197 0.2802 O
0.6775 0.4024 0.1550 O
0.8197 0.2802 0.5840 O
```

Summary:
* E: -63.74 eV per cell
* crystal system: trigonal
* ΔE_f (raw): -1.3816 eV per atom

=====

Entry 15:
VCuAg after structural relaxation. Source: the Alexandria database, functional PBE.

POSCAR file:
```
VCuAg
1.0
-1.4951 1.4951 10.5240
1.4951 -1.4951 10.5240
1.4951 1.4951 -10.5240
V Cu Ag
2 2 2
Direct
0.2194 0.2194 0.0000 V
0.7806 0.7806 0.0000 V
0.3535 0.3535 0.0000 Cu
0.6465 0.6465 0.0000 Cu
0.0659 0.0659 0.0000 Ag
0.9341 0.9341 0.0000 Ag
```

Summary:
* E above lowest polymorph: 26.2 kJ/mol of formula units
* ΔE_f: 5.318 kcal/mol of atoms
* E: -30.75 eV per cell
* crystal system: tetragonal